Entry 1:
{"formula": "BeSbI2F", "functional": "GGA-PBE", "state": "optimized geometry", "polymorph_energy_ev_per_atom": 0.2152, "formation_energy_uncorrected_mev_per_atom": 285, "total_magnetization_mub_per_atom": 0.00, "cell": [[5.932, 0.000, 0.000], [0.000, 5.932, 0.000], [0.000, 0.000, 4.203]], "species": ["Be", "Sb", "I", "I", "F"], "frac_coords": [[0.000, 0.000, 0.000], [0.500, 0.500, 0.000], [0.000, 0.500, 0.500], [0.500, 0.000, 0.500], [0.500, 0.500, 0.500]]}



Entry 2:
{"formula": "SbMo2Cl", "functional": "GGA-PBE", "state": "optimized geometry", "polymorph_energy_ev_per_atom": 0.7896, "formation_energy_uncorrected_mev_per_atom": 690, "total_magnetization_mub_per_atom": 0.10, "cell": [[3.126, 0.000, 0.000], [0.000, 5.424, 0.000], [0.000, 0.000, 8.623]], "species": ["Sb", "Sb", "Mo", "Mo", "Mo", "Mo", "Cl", "Cl"], "frac_coords": [[0.000, 0.000, 0.000], [0.500, 0.500, 0.000], [0.000, 0.500, 0.255], [0.000, 0.500, 0.745], [0.500, 0.000, 0.255], [0.500, 0.000, 0.745], [0.000, 0.000, 0.500], [0.500, 0.500, 0.500]]}



Entry 3:
{"formula": "LiSm2InSe5", "functional": "GGA-PBE", "state": "optimized geometry", "formation_energy_uncorrected_mev_per_atom": -1372, "total_magnetization_mub_per_atom": 0.00, "cell": [[2.048, -8.951, 0.000], [2.048, 8.951, 0.000], [0.000, 0.000, 11.950]], "species": ["Li", "Li", "Sm", "Sm", "Sm", "Sm", "In", "In", "Se", "Se", "Se", "Se", "Se", "Se", "Se", "Se", "Se", "Se"], "frac_coords": [[0.223, 0.777, 0.500], [0.777, 0.223, 0.000], [0.124, 0.876, 0.163], [0.126, 0.874, 0.787], [0.874, 0.126, 0.287], [0.876, 0.124, 0.663], [0.416, 0.584, 0.957], [0.584, 0.416, 0.457], [0.036, 0.964, 0.568], [0.298, 0.702, 0.142], [0.302, 0.698, 0.818], [0.361, 0.639, 0.479], [0.493, 0.507, 0.766], [0.507, 0.493, 0.266], [0.639, 0.361, 0.979], [0.698, 0.302, 0.318], [0.702, 0.298, 0.642], [0.964, 0.036, 0.068]]}



Entry 4:
{"formula": "KCdI2N", "functional": "GGA-PBE", "state": "optimized geometry", "polymorph_energy_ev_per_atom": 0.0000, "formation_energy_uncorrected_mev_per_atom": -24, "total_magnetization_mub_per_atom": 0.40, "cell": [[6.237, 0.000, 0.000], [0.000, 6.237, 0.000], [0.000, 0.000, 4.424]], "species": ["K", "Cd", "I", "I", "N"], "frac_coords": [[0.000, 0.000, 0.000], [0.500, 0.500, 0.500], [0.000, 0.500, 0.500], [0.500, 0.000, 0.500], [0.500, 0.500, 0.000]]}



Entry 5:
{"formula": "YN2F", "functional": "GGA-PBE", "state": "optimized geometry", "polymorph_energy_ev_per_atom": 0.0000, "formation_energy_uncorrected_mev_per_atom": -237, "total_magnetization_mub_per_atom": 0.05, "cell": [[3.193, 0.000, 0.000], [0.000, 3.193, 0.000], [0.000, 0.000, 17.995]], "species": ["Y", "Y", "Y", "Y", "N", "N", "N", "N", "N", "N", "N", "N", "F", "F", "F", "F"], "frac_coords": [[0.000, 0.000, 0.000], [0.000, 0.500, 0.250], [0.500, 0.000, 0.750], [0.500, 0.500, 0.500], [0.140, 0.250, 0.625], [0.250, 0.640, 0.875], [0.250, 0.860, 0.375], [0.360, 0.250, 0.125], [0.640, 0.750, 0.125], [0.750, 0.140, 0.375], [0.750, 0.360, 0.875], [0.860, 0.750, 0.625], [0.000, 0.000, 0.500], [0.000, 0.500, 0.750], [0.500, 0.000, 0.250], [0.500, 0.500, 0.000]]}



Entry 6:
{"formula": "AgSeS", "functional": "GGA-PBE", "state": "optimized geometry", "polymorph_energy_ev_per_atom": 0.0121, "formation_energy_uncorrected_mev_per_atom": 4, "total_magnetization_mub_per_atom": 0.00, "cell": [[7.161, 0.000, 0.000], [0.000, 4.120, 0.000], [-2.368, 0.000, 4.785]], "species": ["Ag", "Ag", "Se", "Se", "S", "S"], "frac_coords": [[0.000, 0.000, 0.000], [0.500, 0.500, 0.000], [0.431, 0.000, 0.294], [0.931, 0.500, 0.294], [0.083, 0.500, 0.750], [0.583, 0.000, 0.750]]}



Entry 7:
{"formula": "Nd9Y2Er", "functional": "GGA-PBE", "state": "optimized geometry", "total_magnetization_mub_per_atom": 0.00, "formation_enthalpy_0k_ev_per_atom": 0.0137, "cell": [[5.159, 0.000, 0.000], [0.000, 5.159, 0.000], [0.000, 0.000, 15.478]], "species": ["Nd", "Nd", "Nd", "Nd", "Nd", "Nd", "Nd", "Nd", "Nd", "Y", "Y", "Er"], "frac_coords": [[0.000, 0.000, 0.000], [0.000, 0.000, 0.333], [0.000, 0.000, 0.667], [0.000, 0.500, 0.166], [0.000, 0.500, 0.500], [0.000, 0.500, 0.834], [0.500, 0.000, 0.166], [0.500, 0.000, 0.500], [0.500, 0.000, 0.834], [0.500, 0.500, 0.333], [0.500, 0.500, 0.667], [0.500, 0.500, 0.000]]}



Entry 8:
{"formula": "TiBeBiSe2", "functional": "GGA-PBE", "state": "optimized geometry", "formation_energy_uncorrected_mev_per_atom": 209, "total_magnetization_mub_per_atom": 0.00, "cell": [[4.957, 0.000, 0.000], [0.000, 4.957, 0.000], [0.000, 0.000, 4.642]], "species": ["Ti", "Be", "Bi", "Se", "Se"], "frac_coords": [[0.000, 0.000, 0.000], [0.000, 0.000, 0.500], [0.500, 0.500, 0.500], [0.000, 0.500, 0.000], [0.500, 0.000, 0.000]]}